SrCoTc2: optimized geometry, GGA-PBEsol.

Values from the calculation:
SG: C2/m
Mass density: 8.8 g/cm3
Crystal system: monoclinic
Energy above the most stable polymorph in this dataset: 185.0 kJ/mol of formula units
Raw total energy: -28.12 eV/cell
Formation enthalpy at 0 K: 0.997 eV per atom

Cell lengths 2.6290, 5.1600, 5.5356 Å; angles 114.60, 98.04, 102.09 degrees
With the nearest neighbours (Å) after each atom.
Fractional positions:
Co 0.0000 0.5000 0.0000  2 Co 2.63, 2 Sr 2.64, 4 Tc 2.89
Sr 0.5000 0.0000 0.0000  2 Sr 2.63, 2 Co 2.64, 4 Tc 2.89
Tc 0.5000 0.5000 0.5000  4 Tc 2.63-2.64, 2 Sr 2.89, 2 Co 2.89
Tc 0.0000 0.0000 0.5000  4 Tc 2.63-2.64, 2 Co 2.89, 2 Sr 2.89